No. 1
Density functional theory data (PBE) for a relaxed NdMgAl2 crystal.

The space group is Fm-3m (No. 225) and the conventional cell measures 7.104, 7.104 and 7.104 Å, with angles of 90.00, 90.00 and 90.00 degrees. The inequivalent atoms are Nd at (0.000, 0.000, 0.000), Mg at (0.000, 0.000, 0.500) and Al at (0.250, 0.250, 0.250).

The calculation puts the volume at 358.51 Å³ per cell.

***

No. 2
Density functional theory data (PBE) for a relaxed Nd6MgAl crystal.

The space group is P-1 (No. 2) and the conventional cell measures 6.331, 6.340 and 6.346 Å, with angles of 92.32, 92.40 and 92.56 degrees. The inequivalent atoms are Nd at (0.027, 0.046, 0.257), Nd at (0.243, 0.473, 0.954), Nd at (0.456, 0.743, 0.471), Mg at (0.500, 0.000, 0.000) and Al at (0.000, 0.500, 0.500).

The calculation puts the volume at 254.00 Å³ per cell.

***

Number 1: E_form -0.187 eV per atom, size of the total moment 0.0 μB/f.u.. Number 2: E_form -0.022 eV per atom, size of the total moment 0.0 μB/f.u..